Below is a geometry-optimized Pr6Ho12In structure, with properties calculated at the PBE level.

Values from the calculation:
DOS at the Fermi energy   23.38 states/eV per cell
Symmetry   R-3
Magnetic moment   0.00 μB/f.u.
ρ   7.89 g/cm³
Calculated formation energy   0.068 eV/atom

a = 8.5222 Å, b = 8.5222 Å, c = 8.5222 Å
α = 89.24°, β = 89.24°, γ = 89.24°
Element x y z (fractional)
Ho: 0.4620 0.5632 0.2231
Pr: 0.7390 0.9083 0.3054
Ho: 0.1879 0.3577 0.0142
Ho: 0.4368 0.7769 0.5380
Pr: 0.2610 0.0917 0.6946
Ho: 0.3577 0.0142 0.1879
In: 0.0000 0.0000 0.0000
Ho: 0.7769 0.5380 0.4368
Pr: 0.3054 0.7390 0.9083
Ho: 0.9858 0.8121 0.6423
Ho: 0.0142 0.1879 0.3577
Ho: 0.5380 0.4368 0.7769
Pr: 0.0917 0.6946 0.2610
Ho: 0.8121 0.6423 0.9858
Ho: 0.6423 0.9858 0.8121
Pr: 0.6946 0.2610 0.0917
Ho: 0.2231 0.4620 0.5632
Pr: 0.9083 0.3054 0.7390
Ho: 0.5632 0.2231 0.4620

***

Below is a geometry-optimized ScNi2Ag structure, with properties calculated at the PBE level.

Values from the calculation:
DOS at the Fermi energy   1.76 states/eV per cell
Symmetry   I-42d
Magnetic moment   0.00 μB/f.u.
ρ   7.02 g/cm³
Calculated formation energy   0.108 eV/atom

a = 6.8635 Å, b = 6.8635 Å, c = 5.5596 Å
α = 51.88°, β = 51.88°, γ = 90.00°
Element x y z (fractional)
Ni: 0.3750 0.3786 0.7500
Ni: 0.6214 0.1250 0.2500
Ag: 0.0000 0.0000 0.0000
Ag: 0.7500 0.2500 0.5000
Sc: 0.2500 0.7500 0.5000
Ni: 0.8750 0.8714 0.7500
Sc: 0.5000 0.5000 0.0000
Ni: 0.1286 0.6250 0.2500

***

Below is a geometry-optimized NaSmSeS structure, with properties calculated at the PBE level.

Values from the calculation:
Energy relative to the elements, uncorrected   -1.751 eV per atom
DOS at the Fermi energy   0.00 states/eV per cell
Symmetry   R3m
Magnetic moment   0.00 μB/f.u.
ρ   4.61 g/cm³

a = 4.1517 Å, b = 4.1517 Å, c = 7.2644 Å
α = 73.40°, β = 73.40°, γ = 60.00°
Element x y z (fractional)
S: 0.7431 0.7431 0.7708
Na: 0.4981 0.4981 0.5058
Se: 0.2549 0.2549 0.2352
Sm: 0.0039 0.0039 0.9883

***

Below is a geometry-optimized Co7Cl structure, with properties calculated at the PBE level.

Values from the calculation:
Energy relative to the elements, uncorrected   0.431 eV per atom
DOS at the Fermi energy   13.72 states/eV per cell
Symmetry   Fm-3m
Magnetic moment   11.91 μB/f.u.
ρ   8.03 g/cm³

a = 5.0799 Å, b = 5.0799 Å, c = 5.0799 Å
α = 60.00°, β = 60.00°, γ = 60.00°
Element x y z (fractional)
Co: 0.5000 0.0000 0.0000
Co: 0.5000 0.0000 0.5000
Co: 0.5000 0.5000 0.5000
Co: 0.0000 0.5000 0.5000
Co: 0.0000 0.0000 0.5000
Co: 0.0000 0.5000 0.0000
Cl: 0.0000 0.0000 0.0000
Co: 0.5000 0.5000 0.0000

***

The lowest DOS at the Fermi energy belongs to which entry? NaSmSeS

***

Look up the magnetic moment of the second one. 0.00 μB/f.u.

***

The lowest ρ belongs to which entry? NaSmSeS

***

The highest magnetic moment belongs to which entry? Co7Cl